Record 1
PBE Be2InCu, optimized geometry; magnetic moment = 0.00 μB per cell; VASP energy = -3.256 eV/atom; DFT formation energy = 316 meV/atom; ρ = 5.99 g/cm3; symmetry = Cm, No. 8
1.0
4.0135 -1.5786 0.0000
4.0135 1.5786 0.0000
-0.9755 0.0000 4.2981
Be In Cu
2 1 1
Direct
0.0000 0.0000 0.0000
0.7278 0.7278 0.1709
0.4997 0.4997 0.4916
0.2684 0.2684 0.8361

***

Record 2
PBE Ti3MnSb, optimized geometry; energy relative to the elements, uncorrected = 1.010 eV/atom; magnetic moment = 3.28 μB per cell; VASP energy = -6.385 eV/atom; ρ = 4.28 g/cm3; symmetry = Pm-3m, No. 221
1.0
4.9898 0.0000 0.0000
0.0000 4.9898 0.0000
0.0000 0.0000 4.9898
Ti Mn Sb
3 1 1
Direct
0.0000 0.0000 0.5000
0.0000 0.5000 0.0000
0.5000 0.0000 0.0000
0.5000 0.5000 0.5000
0.0000 0.0000 0.0000

***

Record 3
PBE Ba2ZrCu, optimized geometry; magnetic moment = 1.29 μB per cell; VASP energy = -3.401 eV/atom; DFT formation energy = 722 meV/atom; ρ = 5.54 g/cm3; symmetry = Pmmm, No. 47
1.0
4.4401 0.0000 0.0000
0.0000 5.2006 0.0000
0.0000 0.0000 5.5739
Ba Zr Cu
2 1 1
Direct
0.0000 0.0000 0.0000
0.5000 0.0000 0.5000
0.0000 0.5000 0.5000
0.5000 0.5000 0.0000

***

Record 4
PBE CrB3Br, optimized geometry; energy relative to the elements, uncorrected = 1.662 eV/atom; magnetic moment = 2.66 μB per cell; VASP energy = -4.604 eV/atom; ρ = 3.78 g/cm3; symmetry = Pm-3m, No. 221
1.0
4.1633 0.0000 0.0000
0.0000 4.1633 0.0000
0.0000 0.0000 4.1633
Cr B Br
1 3 1
Direct
0.0000 0.0000 0.0000
0.0000 0.0000 0.5000
0.0000 0.5000 0.0000
0.5000 0.0000 0.0000
0.5000 0.5000 0.5000

***

Record 5
PBE CaScPt2, optimized geometry; magnetic moment = 0.00 μB per cell; VASP energy = -6.208 eV/atom; DFT formation energy = -1104 meV/atom; ρ = 10.08 g/cm3; symmetry = P4/mmm, No. 123
1.0
3.3552 0.0000 0.0000
0.0000 3.3552 0.0000
0.0000 0.0000 6.9569
Ca Sc Pt
1 1 2
Direct
0.0000 0.0000 0.0000
0.0000 0.0000 0.5000
0.5000 0.5000 0.2825
0.5000 0.5000 0.7175

***

Record 6
PBE TcIrAu3, optimized geometry; magnetic moment = 0.55 μB per cell; VASP energy = -3.820 eV/atom; DFT formation energy = 1991 meV/atom; ρ = 12.34 g/cm3; symmetry = Pm-3m, No. 221
1.0
4.9131 0.0000 0.0000
0.0000 4.9131 0.0000
0.0000 0.0000 4.9131
Tc Ir Au
1 1 3
Direct
0.0000 0.0000 0.0000
0.5000 0.5000 0.5000
0.0000 0.0000 0.5000
0.0000 0.5000 0.0000
0.5000 0.0000 0.0000

***

Record 7
PBE SmGdGa2, optimized geometry; magnetic moment = 7.05 μB per cell; VASP energy = -6.786 eV/atom; DFT formation energy = -572 meV/atom; ρ = 7.76 g/cm3; symmetry = Fm-3m, No. 225
1.0
0.0000 3.6303 3.6303
3.6303 0.0000 3.6303
3.6303 3.6303 0.0000
Sm Gd Ga
1 1 2
Direct
0.0000 0.0000 0.0000
0.5000 0.5000 0.5000
0.2500 0.2500 0.2500
0.7500 0.7500 0.7500

***

Record 8
PBE ReTe2Os, optimized geometry; energy relative to the elements, uncorrected = 0.986 eV/atom; magnetic moment = 0.00 μB per cell; VASP energy = -6.504 eV/atom; ρ = 12.97 g/cm3; symmetry = R-3m, No. 166
1.0
1.6122 0.9308 8.9845
-1.6122 0.9308 8.9845
0.0000 -1.8616 8.9845
Re Te Os
1 2 1
Direct
0.0000 0.0000 0.0000
0.4067 0.4067 0.4067
0.5933 0.5933 0.5933
0.5000 0.5000 0.5000